Crystalline Er4AlZnCd2 at its relaxed geometry. Source: the Alexandria database, functional PBE-GGA.

abc: 5.1447 5.1447 8.9193
angles: 73.24 73.24 60.00
Element x y z (fractional)
Er: 0.3762 0.3762 0.8714
Er: 0.1261 0.1261 0.6216
Er: 0.8739 0.8739 0.3784
Er: 0.6238 0.6238 0.1286
Cd: 0.7494 0.7494 0.7519
Cd: 0.2506 0.2506 0.2481
Al: 0.0000 0.0000 0.0000
Zn: 0.5000 0.5000 0.5000

Space group: R-3m (166)
Formation enthalpy at 0 K, eV/f.u.: -2.6
Calculated density, Mg/m³: 8.50